(1)
Compound: MgReSb
Source: Alexandria via LeMat-Bulk
Functional: PBE
Structure: optimized geometry

Cell: 4.7022 4.7022 2.9659 Å, 90.00 90.00 120.00°
Last column: nearest neighbours and their distance in Å.
Fractional positions:
Sb: 0.3333 0.6667 0.4999  3 Re 2.71, 2 Sb 2.97
Mg: 0.0000 0.0000 0.0001  2 Mg 2.97, 6 Sb 3.09, 6 Re 3.09
Re: 0.6667 0.3333 0.5000  3 Sb 2.71, 2 Re 2.97

Values from the calculation:
Energy relative to the lowest polymorph listed for this composition   0 meV per atom
ΔE_f (raw)   455 meV/atom
Fermi-level density of states   3.2 states/eV/f.u.
Crystal system   hexagonal
Total moment   0.00 μB/f.u.



(2)
Compound: MgRe2Sb
Source: Alexandria via LeMat-Bulk
Functional: PBE
Structure: optimized geometry

Cell: 4.5338 4.5338 4.5338 Å, 60.00 60.00 60.00°
Last column: nearest neighbours and their distance in Å.
Fractional positions:
Re: 0.7500 0.7500 0.7500  4 Mg 2.78, 4 Sb 2.78
Re: 0.2500 0.2500 0.2500  4 Sb 2.78, 4 Mg 2.78
Sb: 0.5000 0.5000 0.5000  8 Re 2.78
Mg: 0.0000 0.0000 0.0000  8 Re 2.78

Values from the calculation:
Energy relative to the lowest polymorph listed for this composition   0 meV per atom
ΔE_f (raw)   609 meV/atom
Fermi-level density of states   4.1 states/eV/f.u.
Crystal system   cubic
Total moment   0.00 μB/f.u.



(3)
Compound: MgRe2Sb
Source: Alexandria via LeMat-Bulk
Functional: PBE
Structure: optimized geometry

Cell: 3.3765 4.4753 4.5151 Å, 90.00 90.00 90.00°
Last column: nearest neighbours and their distance in Å.
Fractional positions:
Sb: 0.5000 0.0000 0.5000  4 Mg 2.80, 4 Re 2.82
Re: 0.0000 0.0000 0.0000  4 Re 2.80, 4 Sb 2.82
Re: 0.5000 0.5000 0.0000  4 Re 2.80, 4 Mg 2.82
Mg: 0.0000 0.5000 0.5000  4 Sb 2.80, 4 Re 2.82

Values from the calculation:
Energy relative to the lowest polymorph listed for this composition   24 meV per atom
ΔE_f (raw)   633 meV/atom
Fermi-level density of states   3.5 states/eV/f.u.
Crystal system   orthorhombic
Total moment   0.00 μB/f.u.